No. 1
Computed, not measured: a relaxed structure of Na2InSn at the PBE level of DFT.

Summary:
As for the crystal system: trigonal. Its symmetry is R3m (160). Its energy relative to the elements is -7 kJ per mole of atoms.

The structure in CIF format:
```
data_Na2InSn
_chemical_formula_sum 'Na2 In1 Sn1'
_cell_length_a 3.4598
_cell_length_b 3.4598
_cell_length_c 10.9031
_cell_angle_alpha 80.87
_cell_angle_beta 80.87
_cell_angle_gamma 60.00
_space_group_name_H-M_alt 'P 1'
_space_group_IT_number 1
_space_group_name_Hall 'P 1'
loop_
_atom_site_label
_atom_site_fract_x
_atom_site_fract_y
_atom_site_fract_z
_atom_site_occupancy
In1 0.6665 0.6665 0.0004 1
Na1 0.2489 0.2489 0.2534 1
Na2 0.0845 0.0845 0.7465 1
Sn1 0.5001 0.5001 0.4996 1
```



No. 2
Computed, not measured: a relaxed structure of Ba2AlIr at the PBE level of DFT.

Summary:
As for the crystal system: tetragonal. Its symmetry is P4mm (99). Its energy relative to the elements is -9 kJ per mole of atoms.

The structure in CIF format:
```
data_Ba2AlIr
_chemical_formula_sum 'Ba2 Al1 Ir1'
_cell_length_a 3.6067
_cell_length_b 3.6153
_cell_length_c 9.6314
_cell_angle_alpha 90.00
_cell_angle_beta 90.00
_cell_angle_gamma 90.00
_space_group_name_H-M_alt 'P 1'
_space_group_IT_number 1
_space_group_name_Hall 'P 1'
loop_
_atom_site_label
_atom_site_fract_x
_atom_site_fract_y
_atom_site_fract_z
_atom_site_occupancy
Al1 0.5000 0.5000 0.6646 1
Ir1 0.0000 0.0000 0.5856 1
Ba1 0.5000 0.5000 0.3391 1
Ba2 0.0000 0.0000 0.9107 1
```



No. 3
Computed, not measured: a relaxed structure of Dy3Ge3Ru2 at the PBE level of DFT.

Summary:
As for the crystal system: orthorhombic. Its symmetry is Pnma (62). Its energy relative to the elements is -70 kJ per mole of atoms. The polymorph energy (0 for the lowest one) is 0.052 eV per atom.

The structure in CIF format:
```
data_Dy3Ge3Ru2
_chemical_formula_sum 'Dy12 Ge12 Ru8'
_cell_length_a 5.7239
_cell_length_b 8.1005
_cell_length_c 14.2355
_cell_angle_alpha 90.00
_cell_angle_beta 90.00
_cell_angle_gamma 90.00
_space_group_name_H-M_alt 'P 1'
_space_group_IT_number 1
_space_group_name_Hall 'P 1'
loop_
_atom_site_label
_atom_site_fract_x
_atom_site_fract_y
_atom_site_fract_z
_atom_site_occupancy
Dy1 0.6177 0.0425 0.8869 1
Dy2 0.6315 0.3177 0.2500 1
Dy3 0.1315 0.1823 0.7500 1
Dy4 0.3685 0.6823 0.7500 1
Dy5 0.8685 0.8177 0.2500 1
Dy6 0.3823 0.9575 0.3869 1
Dy7 0.1177 0.4575 0.1131 1
Dy8 0.8823 0.5425 0.6131 1
Dy9 0.6177 0.0425 0.6131 1
Dy10 0.8823 0.5425 0.8869 1
Dy11 0.3823 0.9575 0.1131 1
Dy12 0.1177 0.4575 0.3869 1
Ru1 0.1057 0.9172 0.9079 1
Ru2 0.3943 0.4172 0.5921 1
Ru3 0.3943 0.4172 0.9079 1
Ru4 0.1057 0.9172 0.5921 1
Ru5 0.8943 0.0828 0.0921 1
Ru6 0.6057 0.5828 0.4079 1
Ru7 0.8943 0.0828 0.4079 1
Ru8 0.6057 0.5828 0.0921 1
Ge1 0.1322 0.1995 0.5403 1
Ge2 0.6322 0.3005 0.4597 1
Ge3 0.3678 0.6995 0.5403 1
Ge4 0.6322 0.3005 0.0403 1
Ge5 0.3939 0.6638 0.2500 1
Ge6 0.1322 0.1995 0.9597 1
Ge7 0.6061 0.3362 0.7500 1
Ge8 0.1061 0.1638 0.2500 1
Ge9 0.8678 0.8005 0.0403 1
Ge10 0.8678 0.8005 0.4597 1
Ge11 0.3678 0.6995 0.9597 1
Ge12 0.8939 0.8362 0.7500 1
```



No. 4
Computed, not measured: a relaxed structure of SnH6Ir at the PBE level of DFT.

Summary:
As for the crystal system: monoclinic. Its symmetry is C2/c (15).

The structure in CIF format:
```
data_SnH6Ir
_chemical_formula_sum 'Sn2 H12 Ir2'
_cell_length_a 4.5693
_cell_length_b 4.5693
_cell_length_c 7.5623
_cell_angle_alpha 86.81
_cell_angle_beta 86.81
_cell_angle_gamma 67.53
_space_group_name_H-M_alt 'P 1'
_space_group_IT_number 1
_space_group_name_Hall 'P 1'
loop_
_atom_site_label
_atom_site_fract_x
_atom_site_fract_y
_atom_site_fract_z
_atom_site_occupancy
H1 0.4648 0.7424 0.8606 1
H2 0.1460 0.3009 0.0014 1
H3 0.8540 0.6991 0.9986 1
H4 0.4922 0.7360 0.1614 1
H5 0.5078 0.2640 0.8386 1
H6 0.6991 0.8540 0.4986 1
H7 0.5352 0.2576 0.1394 1
H8 0.2576 0.5352 0.6394 1
H9 0.7424 0.4648 0.3606 1
H10 0.3009 0.1460 0.5014 1
H11 0.2640 0.5078 0.3386 1
H12 0.7360 0.4922 0.6614 1
Ir1 0.5000 0.0000 0.0000 1
Ir2 0.0000 0.5000 0.5000 1
Sn1 0.9929 0.0071 0.2500 1
Sn2 0.0071 0.9929 0.7500 1
```



No. 5
Computed, not measured: a relaxed structure of Ca2YHg at the PBE level of DFT.

Summary:
As for the crystal system: tetragonal. Its symmetry is P4/mmm (123). Its energy relative to the elements is -15 kJ per mole of atoms.

The structure in CIF format:
```
data_Ca2YHg
_chemical_formula_sum 'Ca2 Y1 Hg1'
_cell_length_a 4.0513
_cell_length_b 4.0601
_cell_length_c 7.6275
_cell_angle_alpha 90.00
_cell_angle_beta 90.00
_cell_angle_gamma 90.00
_space_group_name_H-M_alt 'P 1'
_space_group_IT_number 1
_space_group_name_Hall 'P 1'
loop_
_atom_site_label
_atom_site_fract_x
_atom_site_fract_y
_atom_site_fract_z
_atom_site_occupancy
Y1 0.5000 0.5000 0.7500 1
Ca1 0.0000 0.0000 0.4739 1
Ca2 0.0000 0.0000 0.0261 1
Hg1 0.5000 0.5000 0.2500 1
```



No. 6
Computed, not measured: a relaxed structure of ScInPd2Pb at the PBE level of DFT.

Summary:
As for the crystal system: tetragonal. Its symmetry is P4/mmm (123). Its energy relative to the elements is 46 kJ per mole of atoms. The polymorph energy (0 for the lowest one) is 0.199 eV per atom.

The structure in CIF format:
```
data_ScInPd2Pb
_chemical_formula_sum 'Sc1 In1 Pd2 Pb1'
_cell_length_a 5.1855
_cell_length_b 5.5583
_cell_length_c 5.1855
_cell_angle_alpha 90.00
_cell_angle_beta 90.00
_cell_angle_gamma 90.00
_space_group_name_H-M_alt 'P 1'
_space_group_IT_number 1
_space_group_name_Hall 'P 1'
loop_
_atom_site_label
_atom_site_fract_x
_atom_site_fract_y
_atom_site_fract_z
_atom_site_occupancy
Pb1 0.0000 0.0000 0.0000 1
Pd1 0.5000 0.0000 0.0000 1
Pd2 0.0000 0.0000 0.5000 1
Sc1 0.0000 0.5000 0.0000 1
In1 0.5000 0.5000 0.5000 1
```



| no. | energy (eV/atom) |
| --- | --- |
| 1 | -2.41 |
| 2 | -4.21 |
| 3 | -6.50 |
| 4 | -4.02 |
| 5 | -2.84 |
| 6 | -4.15 |